(1)
! MgSb2P, relaxed, DFT PBE-GGA; values from VASP
&SYSTEM
  ibrav = 0, nat = 4, ntyp = 3
/
ATOMIC_SPECIES
Mg 24.30 Mg.upf
P 30.97 P.upf
Sb 121.76 Sb.upf
ATOMIC_POSITIONS angstrom
Mg 5.4650 1.4002 0.8438
P 16.3951 4.2006 2.5314
Sb 0.2104 0.0539 0.0325
Sb 10.7196 2.7465 1.6551
CELL_PARAMETERS angstrom
7.9216 0.0492 0.0296
6.9693 3.7660 0.0296
6.9693 1.7856 3.3159
! **Size of the total moment**: 0.0 μB/cell
! **Formation energy without anion corrections**: 0.06 eV per atom
! **DFT total energy**: -3.747 eV per atom

***

(2)
! PmYIr2, relaxed, DFT PBE-GGA; values from VASP
&SYSTEM
  ibrav = 0, nat = 8, ntyp = 3
/
ATOMIC_SPECIES
Pm 145.00 Pm.upf
Y 88.91 Y.upf
Ir 192.22 Ir.upf
ATOMIC_POSITIONS angstrom
Pm 3.4823 3.3523 7.5938
Pm 1.8455 -2.6988 2.8049
Y 1.3435 0.5772 4.0718
Y 3.9843 0.0764 6.3268
Ir 1.3572 -0.2027 1.1880
Ir 6.1284 2.0607 6.9511
Ir 3.4717 2.5409 4.6699
Ir 4.0139 -0.6829 3.4692
CELL_PARAMETERS angstrom
-2.1578 -1.2045 2.2595
3.1670 -3.7454 1.0279
4.3186 5.6034 7.1112
! **Size of the total moment**: 0.0 μB/cell
! **Energy of formation from the pure elements**: -0.68 eV per atom
! **DFT total energy**: -7.917 eV per atom

***

Repeat the first record exactly.
! MgSb2P, relaxed, DFT PBE-GGA; values from VASP
&SYSTEM
  ibrav = 0, nat = 4, ntyp = 3
/
ATOMIC_SPECIES
Mg 24.30 Mg.upf
P 30.97 P.upf
Sb 121.76 Sb.upf
ATOMIC_POSITIONS angstrom
Mg 5.4650 1.4002 0.8438
P 16.3951 4.2006 2.5314
Sb 0.2104 0.0539 0.0325
Sb 10.7196 2.7465 1.6551
CELL_PARAMETERS angstrom
7.9216 0.0492 0.0296
6.9693 3.7660 0.0296
6.9693 1.7856 3.3159
! **Size of the total moment**: 0.0 μB/cell
! **Formation energy without anion corrections**: 0.06 eV per atom
! **DFT total energy**: -3.747 eV per atom

***

> Which formula does entry 2 have?

PmYIr2

***

> Number 2 is which compound?

PmYIr2

***

> Among the records above, which one has the lowest DFT total energy?

PmYIr2